Entry from Alexandria: YCo2Ni2 after structural relaxation (PBE-GGA).

abc: 7.0931 7.0931 2.7443
angles: 90.00 90.00 90.00
With the nearest neighbours (Å) after each atom.
Element x y z (fractional)
Y1 0.0000 0.0000 0.0000  2 Y 2.74, 4 Co 2.83, 8 Ni 2.96
Y2 0.5000 0.5000 0.0000  2 Y 2.74, 4 Co 2.83, 8 Ni 2.96
Ni1 0.8269 0.3269 0.5000  6 Co 2.50-2.51, 2 Ni 2.74
Ni2 0.6731 0.8269 0.5000  6 Co 2.50-2.51, 2 Ni 2.74
Ni3 0.1731 0.6731 0.5000  6 Co 2.50-2.51, 2 Ni 2.74
Ni4 0.3269 0.1731 0.5000  6 Co 2.50-2.51, 2 Ni 2.74
Co1 0.1188 0.3812 0.0000  1 Co 2.38, 6 Ni 2.50-2.51
Co2 0.3812 0.8812 0.0000  1 Co 2.38, 6 Ni 2.50-2.51
Co3 0.6188 0.1188 0.0000  1 Co 2.38, 6 Ni 2.50-2.51
Co4 0.8812 0.6188 0.0000  1 Co 2.38, 6 Ni 2.50-2.51

Calculated values
Energy above the lowest structure with this stoichiometry, meV/atom: 163
Density, Mg/m³: 7.80
Uncorrected energy, eV/atom: -6.374
Calculated formation energy, meV/atom: 73